This record from Alexandria describes a relaxed structure of TlInCo4. The functional is GGA-PBE.

Geometry as CIF:
```
data_TlInCo4
_space_group_name_H-M_alt 'F -4 3 m'
_space_group_IT_number 216
_space_group_name_Hall 'F -4 2 3'
_cell_length_a 7.066
_cell_length_b 7.066
_cell_length_c 7.066
_cell_angle_alpha 90.00
_cell_angle_beta 90.00
_cell_angle_gamma 90.00
loop_
_atom_site_label
_atom_site_fract_x
_atom_site_fract_y
_atom_site_fract_z
Tl1 0.000 0.000 0.000
In1 0.250 0.250 0.250
Co1 0.125 0.125 0.625
```

## Properties
Uncorrected energy ... -5.254 eV per atom
Calculated volume ... 352.8 Å³/cell

This record from Alexandria describes a relaxed structure of TlInCo. The functional is GGA-PBE.

Geometry as CIF:
```
data_TlInCo
_space_group_name_H-M_alt 'P 3 m 1'
_space_group_IT_number 156
_cell_length_a 4.4400
_cell_length_b 4.4400
_cell_length_c 3.7202
_cell_angle_alpha 90.00
_cell_angle_beta 90.00
_cell_angle_gamma 120.00
loop_
_space_group_symop_operation_xyz
'x,y,z'
'-y,x-y,z'
'-x+y,-x,z'
'-y,-x,z'
'-x+y,y,z'
'x,x-y,z'
loop_
_atom_site_label
_atom_site_fract_x
_atom_site_fract_y
_atom_site_fract_z
Tl1 0.0000 0.0000 0.0000
In1 0.6667 0.3333 0.5162
Co1 0.3333 0.6667 0.3351
```

## Properties
Uncorrected energy ... -3.555 eV per atom
Calculated volume ... 63.5 Å³/cell
E above lowest polymorph ... 209 meV/atom

This record from Alexandria describes a relaxed structure of Tl4InCo. The functional is GGA-PBE.

Geometry as CIF:
```
data_Tl4InCo
_space_group_name_H-M_alt 'F -4 3 m'
_space_group_IT_number 216
_space_group_name_Hall 'F -4 2 3'
_cell_length_a 8.916
_cell_length_b 8.916
_cell_length_c 8.916
_cell_angle_alpha 90.00
_cell_angle_beta 90.00
_cell_angle_gamma 90.00
loop_
_atom_site_label
_atom_site_fract_x
_atom_site_fract_y
_atom_site_fract_z
Tl1 0.124 0.124 0.124
In1 0.000 0.000 0.500
Co1 0.250 0.250 0.750
```

## Properties
Uncorrected energy ... -2.548 eV per atom
Calculated volume ... 708.9 Å³/cell

This record from Alexandria describes a relaxed structure of TlIn2Co2. The functional is GGA-PBE.

Geometry as CIF:
```
data_TlIn2Co2
_space_group_name_H-M_alt 'I 4/m m m'
_space_group_IT_number 139
_space_group_name_Hall '-I 4 2'
_cell_length_a 3.376
_cell_length_b 3.376
_cell_length_c 18.571
_cell_angle_alpha 90.00
_cell_angle_beta 90.00
_cell_angle_gamma 90.00
loop_
_atom_site_label
_atom_site_fract_x
_atom_site_fract_y
_atom_site_fract_z
Tl1 0.000 0.000 0.000
In1 0.000 0.000 0.366
Co1 0.000 0.500 0.250
```

## Properties
Uncorrected energy ... -4.165 eV per atom
Calculated volume ... 211.7 Å³/cell

This record from Alexandria describes a relaxed structure of TlIn3Co. The functional is GGA-PBE.

Geometry as CIF:
```
data_TlIn3Co
_space_group_name_H-M_alt 'P m -3 m'
_space_group_IT_number 221
_space_group_name_Hall '-P 4 2 3'
_cell_length_a 5.013
_cell_length_b 5.013
_cell_length_c 5.013
_cell_angle_alpha 90.00
_cell_angle_beta 90.00
_cell_angle_gamma 90.00
loop_
_atom_site_label
_atom_site_fract_x
_atom_site_fract_y
_atom_site_fract_z
Tl1 0.000 0.000 0.000
In1 0.000 0.500 0.500
Co1 0.500 0.500 0.500
```

## Properties
Uncorrected energy ... -3.512 eV per atom
Calculated volume ... 126.0 Å³/cell

This record from Alexandria describes a relaxed structure of TlZnIn2Co. The functional is GGA-PBE.

Geometry as CIF:
```
data_TlZnIn2Co
_space_group_name_H-M_alt 'P 4/m m m'
_space_group_IT_number 123
_space_group_name_Hall '-P 4 2'
_cell_length_a 4.969
_cell_length_b 4.969
_cell_length_c 4.795
_cell_angle_alpha 90.00
_cell_angle_beta 90.00
_cell_angle_gamma 90.00
loop_
_atom_site_label
_atom_site_fract_x
_atom_site_fract_y
_atom_site_fract_z
Tl1 0.000 0.000 0.000
Zn1 0.500 0.500 0.000
In1 0.000 0.500 0.500
Co1 0.500 0.500 0.500
```

## Properties
Uncorrected energy ... -3.147 eV per atom
Calculated volume ... 118.4 Å³/cell

This record from Alexandria describes a relaxed structure of Tm11In9Co4. The functional is GGA-PBE.

Geometry as CIF:
```
data_Tm11In9Co4
_space_group_name_H-M_alt 'C m m m'
_space_group_IT_number 65
_space_group_name_Hall '-C 2 2'
_cell_length_a 14.266
_cell_length_b 21.355
_cell_length_c 3.591
_cell_angle_alpha 90.00
_cell_angle_beta 90.00
_cell_angle_gamma 90.00
loop_
_atom_site_label
_atom_site_fract_x
_atom_site_fract_y
_atom_site_fract_z
Tm1 0.000 0.000 0.000
Tm2 0.000 0.161 0.000
Tm3 0.000 0.375 0.000
Tm4 0.186 0.500 0.000
Tm5 0.249 0.333 0.000
In1 0.000 0.500 0.500
In2 0.106 0.263 0.500
In3 0.149 0.071 0.500
Co1 0.151 0.399 0.500
```

## Properties
Uncorrected energy ... -4.700 eV per atom
Calculated volume ... 1094.1 Å³/cell

This record from Alexandria describes a relaxed structure of Tm3InCo. The functional is GGA-PBE.

Geometry as CIF:
```
data_Tm3InCo
_space_group_name_H-M_alt 'P m -3 m'
_space_group_IT_number 221
_space_group_name_Hall '-P 4 2 3'
_cell_length_a 5.076
_cell_length_b 5.076
_cell_length_c 5.076
_cell_angle_alpha 90.00
_cell_angle_beta 90.00
_cell_angle_gamma 90.00
loop_
_atom_site_label
_atom_site_fract_x
_atom_site_fract_y
_atom_site_fract_z
Tm1 0.000 0.000 0.500
In1 0.500 0.500 0.500
Co1 0.000 0.000 0.000
```

## Properties
Uncorrected energy ... -4.846 eV per atom
Calculated volume ... 130.8 Å³/cell
E above lowest polymorph ... 102 meV/atom